No. 1
Density functional theory data (PBE) for an optimized crystal structure of K2NaSnCl5.

a = 4.426 Å, b = 17.984 Å, c = 14.049 Å
α = 90.00°, β = 90.00°, γ = 90.00°
Space group Cmc2_1 (No. 36)
One atom of each set of equivalent atoms:
1 K 0.000 0.103 0.000 x4
2 K 0.000 0.150 0.641 x4
3 Na 0.000 0.224 0.379 x4
4 Sn 0.000 0.458 0.793 x4
5 Cl 0.000 0.067 0.411 x4
6 Cl 0.000 0.272 0.010 x4
7 Cl 0.000 0.315 0.745 x4
8 Cl 0.000 0.374 0.330 x4
9 Cl 0.000 0.498 0.607 x4

Calculated values
Density of states at the Fermi level: 0.000 states/eV per atom
Energy relative to the elements, uncorrected: -1568 meV per atom

---

No. 2
Density functional theory data (PBE) for an optimized crystal structure of LaPrCoSi.

a = 7.073 Å, b = 4.077 Å, c = 7.911 Å
α = 90.00°, β = 107.46°, γ = 90.00°
Space group Cm (No. 8)
One atom of each set of equivalent atoms:
1 La 0.000 0.000 0.000 x2
2 Pr 0.168 0.000 0.500 x2
3 Co 0.415 0.000 0.241 x2
4 Si 0.253 0.500 0.257 x2

Calculated values
Density of states at the Fermi level: 0.980 states/eV per atom
Energy relative to the elements, uncorrected: -466 meV per atom

---

Which raw total energy belongs to each record? In order, -3.43, -6.03 eV per atom.